(1)
This record from Alexandria via LeMat-Bulk describes a geometry-optimized RbV2CrIr structure. The functional is PBE.

Results
total magnetization = 9.95 μB/cell
E_tot = -30.2 eV for the cell shown
energy relative to the elements = 1498 meV per atom

CIF file:
```
data_RbV2CrIr
_chemical_formula_sum 'Rb1 V2 Cr1 Ir1'
_space_group_name_H-M_alt 'P 4/m m m'
_space_group_IT_number 123
_space_group_name_Hall '-P 4 2'
_cell_length_a 4.777
_cell_length_b 4.777
_cell_length_c 6.150
_cell_angle_alpha 90.00
_cell_angle_beta 90.00
_cell_angle_gamma 90.00
loop_
_atom_site_label
_atom_site_fract_x
_atom_site_fract_y
_atom_site_fract_z
Rb1 0.000 0.000 0.000
V1 0.000 0.500 0.500
Cr1 0.500 0.500 0.000
Ir1 0.000 0.000 0.500
```


(2)
This record from Alexandria via LeMat-Bulk describes a geometry-optimized SmTc5 structure. The functional is PBE.

Results
total magnetization = 1.80 μB/cell
E_tot = -109.9 eV for the cell shown
energy relative to the elements = 268 meV per atom

CIF file:
```
data_SmTc5
_chemical_formula_sum 'Sm2 Tc10'
_space_group_name_H-M_alt 'C m m m'
_space_group_IT_number 65
_space_group_name_Hall '-C 2 2'
_cell_length_a 4.172
_cell_length_b 11.845
_cell_length_c 4.170
_cell_angle_alpha 90.00
_cell_angle_beta 90.00
_cell_angle_gamma 90.00
loop_
_atom_site_label
_atom_site_fract_x
_atom_site_fract_y
_atom_site_fract_z
Sm1 0.000 0.000 0.000
Tc1 0.000 0.187 0.500
Tc2 0.000 0.309 0.000
Tc3 0.000 0.500 0.500
```


(3)
This record from Alexandria via LeMat-Bulk describes a geometry-optimized NiRu2Rh structure. The functional is PBE.

Results
total magnetization = 0.00 μB/cell
E_tot = -106.6 eV for the cell shown
energy relative to the elements = 1258 meV per atom

CIF file:
```
data_NiRu2Rh
_chemical_formula_sum 'Ni4 Ru8 Rh4'
_space_group_name_H-M_alt 'I -4 2 d'
_space_group_IT_number 122
_space_group_name_Hall 'I -4 2bw'
_cell_length_a 5.276
_cell_length_b 5.276
_cell_length_c 11.062
_cell_angle_alpha 90.00
_cell_angle_beta 90.00
_cell_angle_gamma 90.00
loop_
_atom_site_label
_atom_site_fract_x
_atom_site_fract_y
_atom_site_fract_z
Ni1 0.000 0.000 0.000
Ru1 0.234 0.250 0.125
Rh1 0.000 0.000 0.500
```


(4)
This record from Alexandria via LeMat-Bulk describes a geometry-optimized HoSc5Cd6 structure. The functional is PBE.

Results
total magnetization = 0.01 μB/cell
E_tot = -90.4 eV for the cell shown
energy relative to the elements = -290 meV per atom

CIF file:
```
data_HoSc5Cd6
_chemical_formula_sum 'Ho2 Sc10 Cd12'
_space_group_name_H-M_alt 'C 1 2/m 1'
_space_group_IT_number 12
_space_group_name_Hall '-C 2y'
_cell_length_a 15.877
_cell_length_b 7.201
_cell_length_c 5.028
_cell_angle_alpha 90.00
_cell_angle_beta 108.12
_cell_angle_gamma 90.00
loop_
_atom_site_label
_atom_site_fract_x
_atom_site_fract_y
_atom_site_fract_z
Ho1 0.000 0.000 0.000
Sc1 0.000 0.500 0.000
Sc2 0.164 0.000 0.664
Sc3 0.168 0.500 0.668
Cd1 0.000 0.264 0.500
Cd2 0.170 0.257 0.170
```


(5)
This record from Alexandria via LeMat-Bulk describes a geometry-optimized PmY5Ho7 structure. The functional is PBE.

Results
total magnetization = 0.00 μB/cell
E_tot = -131.2 eV for the cell shown
energy relative to the elements = 268 meV per atom

CIF file:
```
data_PmY5Ho7
_chemical_formula_sum 'Pm2 Y10 Ho14'
_space_group_name_H-M_alt 'I m m 2'
_space_group_IT_number 44
_space_group_name_Hall 'I 2 -2'
_cell_length_a 6.734
_cell_length_b 11.076
_cell_length_c 11.550
_cell_angle_alpha 90.00
_cell_angle_beta 90.00
_cell_angle_gamma 90.00
loop_
_atom_site_label
_atom_site_fract_x
_atom_site_fract_y
_atom_site_fract_z
Pm1 0.000 0.000 0.000
Y1 0.000 0.500 0.196
Y2 0.233 0.226 0.201
Ho1 0.000 0.000 0.396
Ho2 0.000 0.000 0.700
Ho3 0.000 0.328 0.949
Ho4 0.000 0.330 0.449
Ho5 0.000 0.500 0.701
```


(6)
This record from Alexandria via LeMat-Bulk describes a geometry-optimized Na2YI structure. The functional is PBE.

Results
total magnetization = 0.00 μB/cell
E_tot = -39.3 eV for the cell shown

CIF file:
```
data_Na2YI
_chemical_formula_sum 'Na8 Y4 I4'
_space_group_name_H-M_alt 'F m -3 m'
_space_group_IT_number 225
_space_group_name_Hall '-F 4 2 3'
_cell_length_a 8.241
_cell_length_b 8.241
_cell_length_c 8.241
_cell_angle_alpha 90.00
_cell_angle_beta 90.00
_cell_angle_gamma 90.00
loop_
_atom_site_label
_atom_site_fract_x
_atom_site_fract_y
_atom_site_fract_z
Na1 0.250 0.250 0.250
Y1 0.000 0.000 0.000
I1 0.000 0.000 0.500
```


Copy entry 2 word for word.
This record from Alexandria via LeMat-Bulk describes a geometry-optimized SmTc5 structure. The functional is PBE.

Results
total magnetization = 1.80 μB/cell
E_tot = -109.9 eV for the cell shown
energy relative to the elements = 268 meV per atom

CIF file:
```
data_SmTc5
_chemical_formula_sum 'Sm2 Tc10'
_space_group_name_H-M_alt 'C m m m'
_space_group_IT_number 65
_space_group_name_Hall '-C 2 2'
_cell_length_a 4.172
_cell_length_b 11.845
_cell_length_c 4.170
_cell_angle_alpha 90.00
_cell_angle_beta 90.00
_cell_angle_gamma 90.00
loop_
_atom_site_label
_atom_site_fract_x
_atom_site_fract_y
_atom_site_fract_z
Sm1 0.000 0.000 0.000
Tc1 0.000 0.187 0.500
Tc2 0.000 0.309 0.000
Tc3 0.000 0.500 0.500
```